Here is an optimized crystal structure of CaGaAs2 from Alexandria. Energies are from PBE.

abc: 7.246 7.246 7.255
angles: 90.00 90.00 90.00
Sites, in units of the cell vectors:
Ca  0.000  0.000  0.000
Ca  0.000  0.500  0.250
Ca  0.500  0.000  0.750
Ca  0.500  0.500  0.500
Ga  0.000  0.000  0.500
Ga  0.000  0.500  0.750
Ga  0.500  0.000  0.250
Ga  0.500  0.500  0.000
As  0.195  0.250  0.625
As  0.250  0.695  0.875
As  0.250  0.805  0.375
As  0.305  0.250  0.125
As  0.695  0.750  0.125
As  0.750  0.195  0.375
As  0.750  0.305  0.875
As  0.805  0.750  0.625

Results
* space-group type: I-42d (122)
* crystal system: tetragonal
* total energy: -4.1038 eV per atom